# TbY2Ho2Tm (PBE-GGA, optimized geometry)
# **Raw total energy**: -4.927 eV per atom
data_TbY2Ho2Tm
_space_group_name_H-M_alt 'P n n m'
_space_group_IT_number 58
_cell_length_a 6.517
_cell_length_b 17.659
_cell_length_c 3.370
_cell_angle_alpha 90.00
_cell_angle_beta 90.00
_cell_angle_gamma 90.00
loop_
_space_group_symop_operation_xyz
'x,y,z'
'-x,-y,-z'
'-x,-y,z'
'x,y,-z'
'x+1/2,-y+1/2,-z+1/2'
'-x+1/2,y+1/2,z+1/2'
'-x+1/2,y+1/2,-z+1/2'
'x+1/2,-y+1/2,z+1/2'
loop_
_atom_site_label
_atom_site_type_symbol
_atom_site_fract_x
_atom_site_fract_y
_atom_site_fract_z
_atom_site_occupancy
Tb1 Tb 0.000 0.000 0.000 1
Y1 Y 0.232 0.316 0.000 1
Ho1 Ho 0.230 0.146 0.500 1
Tm1 Tm 0.000 0.500 0.000 1